# 1
{
  "formula": "Pa2WC",
  "functional": "GGA-PBE",
  "state": "optimized geometry",
  "lattice_angstrom": [[3.3070, 0.0000, 0.0000], [0.0000, 3.3070, 0.0000], [0.0000, 0.0000, 6.5680]],
  "species": ["C", "W", "Pa", "Pa"],
  "fractional_positions": [[0.5000, 0.5000, 0.0000], [0.5000, 0.5000, 0.5000], [0.0000, 0.0000, 0.7869], [0.0000, 0.0000, 0.2131]],
  "e_form_ev_per_fu": 1.53,
  "magmom_total_mub_per_atom": 0.0000,
  "total_energy_ev_per_atom": -9.909,
  "de_polymorph_mev_per_atom": 0,
  "density_kg_m3": 15210
}

***

# 2
{
  "formula": "Y2PaWC4",
  "functional": "GGA-PBE",
  "state": "optimized geometry",
  "lattice_angstrom": [[3.4595, 0.0000, 0.0000], [-1.7298, 5.9507, 0.0000], [0.0000, 0.0000, 12.3643]],
  "species": ["C", "Y", "Pa", "C", "C", "W", "Y", "W", "C", "C", "C", "C", "Y", "C", "Y", "Pa"],
  "fractional_positions": [[0.4470, 0.8940, 0.7500], [0.3693, 0.7385, 0.5373], [0.8929, 0.7859, 0.2500], [0.2686, 0.5371, 0.1353], [0.5530, 0.1060, 0.2500], [0.8435, 0.6871, 0.7500], [0.6307, 0.2615, 0.4627], [0.1565, 0.3129, 0.2500], [0.2686, 0.5371, 0.3647], [0.0000, 0.0000, 0.0000], [0.7314, 0.4629, 0.8647], [0.0000, 0.0000, 0.5000], [0.3693, 0.7385, 0.9627], [0.7314, 0.4629, 0.6353], [0.6307, 0.2615, 0.0373], [0.1071, 0.2141, 0.7500]],
  "e_form_ev_per_fu": -0.35,
  "magmom_total_mub_per_atom": 0.0000,
  "total_energy_ev_per_atom": -9.078,
  "density_kg_m3": 8360
}

***

# 3
{
  "formula": "Y5PaC4",
  "functional": "GGA-PBE",
  "state": "optimized geometry",
  "lattice_angstrom": [[-1.8773, -2.7690, 1.3769], [-1.7929, -2.1376, -6.7431], [7.6736, -2.5119, 0.6581]],
  "species": ["Pa", "C", "Y", "Y", "Y", "C", "C", "C", "Y", "Y"],
  "fractional_positions": [[0.5000, 0.0000, 0.0000], [0.6621, 0.0822, 0.3241], [0.5000, 0.5000, 0.0000], [0.1672, 0.8508, 0.3343], [0.8388, 0.6882, 0.6777], [0.0014, 0.2399, 0.0028], [0.3379, 0.9178, 0.6759], [0.9986, 0.7601, 0.9972], [0.1612, 0.3118, 0.3223], [0.8328, 0.1492, 0.6657]],
  "e_form_ev_per_fu": -3.25,
  "magmom_total_mub_per_atom": 0.0000,
  "total_energy_ev_per_atom": -8.197,
  "density_kg_m3": 5912
}

***

# 4
{
  "formula": "YPa3C",
  "functional": "GGA-PBE",
  "state": "optimized geometry",
  "lattice_angstrom": [[4.8864, 0.0000, 0.0000], [0.0000, 4.8864, 0.0000], [0.0000, 0.0000, 4.8864]],
  "species": ["Pa", "Y", "Pa", "Pa", "C"],
  "fractional_positions": [[0.0000, 0.5000, 0.0000], [0.5000, 0.5000, 0.5000], [0.0000, 0.0000, 0.5000], [0.5000, 0.0000, 0.0000], [0.0000, 0.0000, 0.0000]],
  "e_form_ev_per_fu": -0.26,
  "magmom_total_mub_per_atom": 0.0000,
  "total_energy_ev_per_atom": -8.887,
  "density_kg_m3": 11301
}

***

# 5
{
  "formula": "Y4PaC4",
  "functional": "GGA-PBE",
  "state": "optimized geometry",
  "lattice_angstrom": [[-1.8963, -2.9777, 0.9020], [4.1687, -4.6013, 0.9332], [0.8909, -0.3592, 8.0463]],
  "species": ["C", "Y", "C", "Pa", "Y", "C", "C", "Y", "Y"],
  "fractional_positions": [[0.9092, 0.2782, 0.9035], [0.2954, 0.5989, 0.8104], [0.0908, 0.7218, 0.0965], [0.5000, 0.0000, 0.0000], [0.1115, 0.1662, 0.6108], [0.3023, 0.1019, 0.2935], [0.6977, 0.8981, 0.7065], [0.8885, 0.8338, 0.3892], [0.7046, 0.4011, 0.1896]],
  "e_form_ev_per_fu": -2.94,
  "magmom_total_mub_per_atom": 0.1121,
  "total_energy_ev_per_atom": -8.354,
  "density_kg_m3": 6224
}

***

# 6
{
  "formula": "Y2Pa2C3",
  "functional": "GGA-PBE",
  "state": "optimized geometry",
  "lattice_angstrom": [[-0.2674, 3.4539, -0.8163], [3.9877, -0.7500, -4.4795], [-6.2451, -2.5936, -1.1692]],
  "species": ["C", "C", "Pa", "C", "Pa", "Y", "Y"],
  "fractional_positions": [[0.0000, 0.5000, 0.0000], [0.2628, 0.7939, 0.5255], [0.1246, 0.9446, 0.2492], [0.7372, 0.2061, 0.4745], [0.8754, 0.0554, 0.7508], [0.6290, 0.4727, 0.2579], [0.3710, 0.5273, 0.7421]],
  "e_form_ev_per_fu": -1.94,
  "magmom_total_mub_per_atom": 0.0000,
  "total_energy_ev_per_atom": -8.790,
  "density_kg_m3": 8778
}

***

# 7
{
  "formula": "YPa4C5",
  "functional": "GGA-PBE",
  "state": "optimized geometry",
  "lattice_angstrom": [[3.5461, 0.0000, -0.6841], [-0.2617, 4.8866, -1.3565], [0.0002, 0.0078, 9.5335]],
  "species": ["C", "C", "C", "Pa", "C", "C", "Pa", "Pa", "Pa", "Y"],
  "fractional_positions": [[0.0000, 0.5000, 0.0000], [0.6062, 0.1062, 0.2125], [0.8020, 0.3020, 0.6041], [0.4012, 0.4012, 0.8025], [0.3938, 0.8938, 0.7875], [0.1980, 0.6980, 0.3959], [0.8007, 0.8007, 0.6014], [0.5988, 0.5988, 0.1975], [0.1993, 0.1993, 0.3986], [0.0000, 0.0000, 0.0000]],
  "e_form_ev_per_fu": -4.26,
  "magmom_total_mub_per_atom": 0.0000,
  "total_energy_ev_per_atom": -9.482,
  "density_kg_m3": 10784
}

***

# 8
{
  "formula": "Y2PaC2",
  "functional": "GGA-PBE",
  "state": "optimized geometry",
  "lattice_angstrom": [[-0.6430, -1.9861, -2.9454], [-1.7657, -3.1312, 0.2844], [-7.9211, 3.8662, -3.0905]],
  "species": ["C", "Y", "Y", "C", "Pa"],
  "fractional_positions": [[0.2377, 0.8680, 0.6566], [0.4751, 0.2407, 0.8091], [0.5249, 0.7593, 0.1909], [0.7623, 0.1320, 0.3434], [0.0000, 0.5000, 0.5000]],
  "e_form_ev_per_fu": -1.78,
  "magmom_total_mub_per_atom": 0.0001,
  "total_energy_ev_per_atom": -8.531,
  "density_kg_m3": 6982
}

***

# 9
{
  "formula": "YPa3C4",
  "functional": "GGA-PBE",
  "state": "optimized geometry",
  "lattice_angstrom": [[3.6187, 0.0000, 0.0000], [0.0000, 5.9012, -2.0270], [0.0000, -0.0631, 6.2393]],
  "species": ["C", "Pa", "C", "Pa", "Pa", "C", "Y", "C"],
  "fractional_positions": [[0.0000, 0.2645, 0.2645], [0.0000, 0.0000, 0.5000], [0.5000, 0.7439, 0.2561], [0.5000, 0.5000, 0.5000], [0.0000, 0.5000, 0.0000], [0.5000, 0.2561, 0.7439], [0.5000, 0.0000, 0.0000], [0.0000, 0.7355, 0.7355]],
  "e_form_ev_per_fu": -3.39,
  "magmom_total_mub_per_atom": 0.0000,
  "total_energy_ev_per_atom": -9.404,
  "density_kg_m3": 10381
}

***

# 10
{
  "formula": "Y5PaC5",
  "functional": "GGA-PBE",
  "state": "optimized geometry",
  "lattice_angstrom": [[-1.0617, 1.5360, -4.7004], [1.1240, -6.1755, 0.4491], [-6.8905, 1.0277, 1.8922]],
  "species": ["Pa", "C", "Y", "C", "C", "Y", "C", "Y", "Y", "C", "Y"],
  "fractional_positions": [[0.0000, 0.0000, 0.0000], [0.5000, 0.0000, 0.0000], [0.3194, 0.6388, 0.6715], [0.8436, 0.6873, 0.1665], [0.1590, 0.3180, 0.3231], [0.3268, 0.6537, 0.1539], [0.8410, 0.6820, 0.6769], [0.0000, 0.0000, 0.5000], [0.6732, 0.3463, 0.8461], [0.1564, 0.3127, 0.8335], [0.6806, 0.3612, 0.3285]],
  "e_form_ev_per_fu": -3.10,
  "magmom_total_mub_per_atom": 0.0699,
  "total_energy_ev_per_atom": -8.276,
  "density_kg_m3": 6124
}

***

# 11
{
  "formula": "YPaC2",
  "functional": "GGA-PBE",
  "state": "optimized geometry",
  "lattice_angstrom": [[-0.6477, 3.1836, -1.5411], [-3.0413, 1.7700, 0.7396], [1.4732, 4.3986, 4.2723]],
  "species": ["Y", "Pa", "C", "C"],
  "fractional_positions": [[0.4975, 0.4975, 0.5075], [0.6669, 0.6669, 0.9994], [0.0754, 0.0754, 0.7737], [0.2602, 0.2602, 0.2194]],
  "e_form_ev_per_fu": -0.88,
  "magmom_total_mub_per_atom": 0.0000,
  "total_energy_ev_per_atom": -8.821,
  "de_polymorph_mev_per_atom": 192,
  "density_kg_m3": 8566
}

***

# 12
{
  "formula": "YPaC2",
  "functional": "GGA-PBE",
  "state": "optimized geometry",
  "lattice_angstrom": [[3.6365, 0.0000, 0.0000], [1.8183, 3.1493, 0.0000], [1.8183, 1.0498, 5.8408]],
  "species": ["C", "Pa", "C", "Y"],
  "fractional_positions": [[0.7419, 0.7419, 0.7742], [0.0000, 0.0000, 0.0000], [0.2581, 0.2581, 0.2258], [0.5000, 0.5000, 0.5000]],
  "e_form_ev_per_fu": -1.65,
  "magmom_total_mub_per_atom": 0.0000,
  "total_energy_ev_per_atom": -9.013,
  "de_polymorph_mev_per_atom": 0,
  "density_kg_m3": 8538
}

***

# 13
{
  "formula": "YPa2C3",
  "functional": "GGA-PBE",
  "state": "optimized geometry",
  "lattice_angstrom": [[-2.6785, -1.1673, 2.1604], [0.6060, -4.7205, -1.7992], [4.6300, 1.9182, 3.7210]],
  "species": ["Pa", "Pa", "C", "C", "Y", "C"],
  "fractional_positions": [[0.1658, 0.1658, 0.8317], [0.8342, 0.8342, 0.1683], [0.1808, 0.6808, 0.8616], [0.5000, 0.0000, 0.5000], [0.5000, 0.5000, 0.5000], [0.8192, 0.3192, 0.1384]],
  "e_form_ev_per_fu": -2.56,
  "magmom_total_mub_per_atom": 0.0000,
  "total_energy_ev_per_atom": -9.282,
  "density_kg_m3": 9758
}